Computed, not measured: a relaxed TaGeTe3 crystal at the PBE-GGA level of DFT.

Calculated values
E_tot in eV/cell: -23.52
Space-group type: Pm-3m (221)
Volume in Å³/cell: 159
ΔE_f (raw) in meV per atom: 474

Cell lengths 5.4139, 5.4139, 5.4139 Å; angles 90.00, 90.00, 90.00 degrees
Site moments in Bohr magnetons follow the coordinates.
Element x y z (fractional)
Te  0.0000  0.0000  0.5000  -0.06
Te  0.5000  0.0000  0.0000  -0.06
Ta  0.0000  0.0000  0.0000  0.30
Ge  0.5000  0.5000  0.5000  0.37
Te  0.0000  0.5000  0.0000  -0.06

---

Computed, not measured: a relaxed TaGe3Te crystal at the PBE-GGA level of DFT.

Calculated values
E_tot in eV/cell: -20.20
Space-group type: Pm-3m (221)
Volume in Å³/cell: 136
ΔE_f (raw) in meV per atom: 1730

Cell lengths 5.1365, 5.1365, 5.1365 Å; angles 90.00, 90.00, 90.00 degrees
Element x y z (fractional)
Ge  0.5000  0.0000  0.0000
Te  0.0000  0.0000  0.0000
Ge  0.0000  0.0000  0.5000
Ge  0.0000  0.5000  0.0000
Ta  0.5000  0.5000  0.5000

---

Computed, not measured: a relaxed TaGe2Te2 crystal at the PBE-GGA level of DFT.

Calculated values
E_tot in eV/cell: -49.58
Space-group type: P4/mbm (127)
Volume in Å³/cell: 239
ΔE_f (raw) in meV per atom: 516

Cell lengths 7.6184, 7.6184, 4.1138 Å; angles 90.00, 90.00, 90.00 degrees
Element x y z (fractional)
Ge  0.8441  0.3441  0.5000
Ge  0.6559  0.8441  0.5000
Te  0.6644  0.1644  0.0000
Ge  0.3441  0.1559  0.5000
Te  0.8356  0.6644  0.0000
Te  0.3356  0.8356  0.0000
Ta  0.0000  0.0000  0.0000
Ge  0.1559  0.6559  0.5000
Ta  0.5000  0.5000  0.0000
Te  0.1644  0.3356  0.0000